Crystalline LuPaFe at its relaxed geometry. Source: Alexandria via LeMat-Bulk, functional PBE.

Cell lengths 4.0286, 4.0286, 4.9812 Å; angles 90.00, 90.00, 120.00 degrees
Space group P-6m2 (No. 187)
Inequivalent atoms, fractional coordinates:
Lu: 0.0000 0.0000 0.0000 (multiplicity 1)
Pa: 0.6667 0.3333 0.5000 (multiplicity 1)
Fe: 0.3333 0.6667 0.5000 (multiplicity 1)

Distance to the lowest polymorph of the same formula, eV per atom: 0.168
E_tot, eV/atom: -7.383
Volume, Å³/f.u.: 70.0
M_tot, μB per formula unit: 0.001
Formation enthalpy at 0 K, eV per atom: 0.11